The following is a DFT calculation (PBE with a Hubbard U) of Cr3P6WO24 after structural relaxation.

Computed properties:
Total energy = -248.24 eV per cell
Mass density = 3.36 Mg/m³

a = 8.8171 Å, b = 8.8171 Å, c = 8.8171 Å
α = 56.80°, β = 56.80°, γ = 56.80°
Positions (direct):
O 0.9993 0.3725 0.2030
Cr 0.1406 0.1406 0.1406
O 0.4832 0.7726 0.8363
O 0.4560 0.8161 0.5203
Cr 0.6457 0.6457 0.6457
O 0.4828 0.5437 0.1840
O 0.2300 0.1652 0.5159
O 0.9991 0.6245 0.7999
P 0.0330 0.4583 0.7498
O 0.5437 0.1840 0.4828
O 0.7999 0.9991 0.6245
O 0.3725 0.2030 0.9993
O 0.5159 0.2300 0.1652
P 0.7498 0.0330 0.4583
O 0.1100 0.2640 0.8966
W 0.8590 0.8590 0.8590
O 0.7726 0.8363 0.4832
P 0.4583 0.7498 0.0330
O 0.8966 0.1100 0.2640
P 0.9741 0.5243 0.2565
O 0.9026 0.7266 0.0989
O 0.8363 0.4832 0.7726
O 0.7266 0.0989 0.9026
O 0.2640 0.8966 0.1100
O 0.6245 0.7999 0.9991
O 0.5203 0.4560 0.8161
O 0.1840 0.4828 0.5437
P 0.5243 0.2565 0.9741
P 0.2565 0.9741 0.5243
O 0.8161 0.5203 0.4560
O 0.1652 0.5159 0.2300
O 0.0989 0.9026 0.7266
O 0.2030 0.9993 0.3725
Cr 0.3557 0.3557 0.3557